Record 1
ErPaPt6 | PBE | optimized geometry

Results
ρ, g/cm3: 18.41
Calculated volume, A^3/atom: 17.68
Calculated formation energy, kJ per mole of atoms: -105.85
Raw total energy, eV/atom: -7.385
Spin magnetization, μB/atom: 0.001

Cell lengths 4.1419, 4.1419, 8.2461 Å; angles 90.00, 90.00, 90.00 degrees
Last column: nearest neighbours and their distance in Å.
Sites, in units of the cell vectors:
Er  0.0000  0.0000  0.0000  12 Pt 2.93-2.94
Pa  0.0000  0.0000  0.5000  12 Pt 2.91-2.93
Pt  0.5000  0.5000  0.0000  4 Er 2.93, 8 Pt 2.94
Pt  0.5000  0.5000  0.5000  8 Pt 2.91, 4 Pa 2.93
Pt  0.5000  0.0000  0.2523  2 Pa 2.91, 8 Pt 2.91-2.94, 2 Er 2.94
Pt  0.5000  0.0000  0.7477  2 Pa 2.91, 8 Pt 2.91-2.94, 2 Er 2.94
Pt  0.0000  0.5000  0.2523  2 Pa 2.91, 8 Pt 2.91-2.94, 2 Er 2.94
Pt  0.0000  0.5000  0.7477  2 Pa 2.91, 8 Pt 2.91-2.94, 2 Er 2.94

=====

Record 2
ErPaPt | PBE | optimized geometry

Results
ρ, g/cm3: 13.84
Calculated volume, A^3/atom: 23.73
Calculated formation energy, kJ per mole of atoms: -56.87
Raw total energy, eV/atom: -7.289
Spin magnetization, μB/atom: 0.000

Cell lengths 3.3648, 5.7187, 14.7975 Å; angles 90.00, 90.00, 90.00 degrees
Last column: nearest neighbours and their distance in Å.
Sites, in units of the cell vectors:
Pa  0.7500  0.2950  0.5197  3 Pt 2.87-3.04, 2 Pa 2.94
Pa  0.2500  0.2050  0.0197  3 Pt 2.87-3.04, 2 Pa 2.94
Pa  0.2500  0.7050  0.4803  3 Pt 2.87-3.04, 2 Pa 2.94
Pa  0.7500  0.7950  0.9803  3 Pt 2.87-3.04, 2 Pa 2.94
Pt  0.7500  0.9642  0.3592  3 Pa 2.87-3.04, 4 Er 2.91-3.03
Pt  0.2500  0.5358  0.8592  3 Pa 2.87-3.04, 4 Er 2.91-3.03
Pt  0.2500  0.0358  0.6408  3 Pa 2.87-3.04, 4 Er 2.91-3.03
Pt  0.7500  0.4642  0.1408  3 Pa 2.87-3.04, 4 Er 2.91-3.03
Er  0.7500  0.6452  0.6943  4 Pt 2.91-3.03
Er  0.2500  0.8548  0.1943  4 Pt 2.91-3.03
Er  0.2500  0.3548  0.3057  4 Pt 2.91-3.03
Er  0.7500  0.1452  0.8057  4 Pt 2.91-3.03